The following is a PBE-GGA calculation of Tb7YSc3 after structural relaxation, from Alexandria.

Computed properties:
Density of states at the Fermi level in states/eV per cell: 74.461
Energy of formation from the pure elements in meV per atom: 154
Relative energy among the computed polymorphs in meV/atom: 0

Lattice parameters (Å, degrees): 6.768 18.001 10.995 90.00 90.49 90.00
Space group C2/m (No. 12)
One atom of each set of equivalent atoms:
Tb  0.245  0.000  0.250 [4 per cell]
Tb  0.247  0.409  0.250 [8 per cell]
Tb  0.248  0.337  0.537 [8 per cell]
Tb  0.249  0.163  0.037 [8 per cell]
Y  0.000  0.000  0.500 [2 per cell]
Y  0.000  0.500  0.000 [2 per cell]
Sc  0.000  0.000  0.000 [2 per cell]
Sc  0.000  0.500  0.500 [2 per cell]
Sc  0.001  0.249  0.750 [8 per cell]